# 1
Entry from the Alexandria database: a relaxed BaInPb2 crystal (GGA-PBE).

```
4
Lattice="5.5522 0.0000 0.0000 0.0000 3.6475 -0.0943 0.0000 0.1690 6.7352" Properties=species:S:1:pos:R:3 pbc="T T T"
In 2.7761 2.8623 4.9807
Pb 0.0000 2.8947 6.6468
Pb 0.0000 2.8299 3.3145
Ba 2.7761 0.9541 1.6602
```

E_tot (Ha/atom): -0.11956
Size of the total moment (μB per formula unit): 0.000
Energy relative to the elements (eV per atom): -0.23

# 2
Entry from the Alexandria database: a relaxed Ba2InPb6 crystal (GGA-PBE).

```
9
Lattice="4.7610 0.0000 -0.9069 0.0000 5.1678 0.0000 0.0608 0.0000 13.2694" Properties=species:S:1:pos:R:3 pbc="T T T"
Pb 3.4228 0.0000 5.0182
Pb 0.4282 2.5839 2.2477
Ba 1.6417 0.0000 8.6185
Ba 4.7739 0.0000 12.1110
Pb 1.0118 2.5839 5.3115
Pb 4.2936 2.5839 9.5896
Pb 2.2865 2.5839 12.0035
Pb 2.8429 0.0000 1.9742
In 3.7444 2.5839 6.7069
```

E_tot (Ha/atom): -0.12567
Size of the total moment (μB per formula unit): 0.000
Energy relative to the elements (eV per atom): -0.22

# 3
Entry from the Alexandria database: a relaxed BaInPb3 crystal (GGA-PBE).

```
10
Lattice="-1.3484 7.0592 0.5144 -6.9992 -1.2699 -0.9256 -0.7921 -0.6568 6.8905" Properties=species:S:1:pos:R:3 pbc="T T T"
Ba -8.0221 5.4723 1.0106
Pb -2.4630 1.8721 1.3077
Pb -4.7831 6.0429 3.2017
Pb -2.2883 5.2979 5.1749
Ba -4.0826 2.2784 4.6827
Pb -7.3606 1.9211 2.5069
Pb -7.7586 1.5938 5.9593
In -4.9390 3.5926 1.1873
In -6.2647 -0.5576 4.1631
Pb -5.1789 5.7133 6.6397
```

E_tot (Ha/atom): -0.12541
Offset from the most stable computed form (meV per atom): 0
Size of the total moment (μB per formula unit): 0.000
Energy relative to the elements (eV per atom): -0.26

# 4
Entry from the Alexandria database: a relaxed Ba3In5Pb6 crystal (GGA-PBE).

```
28
Lattice="-3.3933 -3.8429 0.3583 8.2059 -7.5151 -2.8876 3.7596 -1.8697 15.5501" Properties=species:S:1:pos:R:3 pbc="T T T"
Pb 0.9227 -3.2971 10.2306
Pb -0.2077 -2.7349 5.5551
In 3.5082 -6.0964 4.6935
In -0.0296 -3.1895 2.3664
Ba 7.5572 -9.1090 10.7286
Pb 8.5967 -7.6365 -0.4885
Pb 2.6124 -5.8677 -1.3371
Pb 7.5360 -5.8299 8.8419
Ba 4.5914 -3.1322 9.8882
In 6.2858 -5.7567 -2.2119
Pb 4.6126 -6.4113 11.7749
Ba 2.0228 -1.8525 -0.7118
Ba 5.1645 -7.9190 0.8321
Ba 6.3662 -8.5189 5.7785
In 4.8808 -4.2750 0.3732
In 8.4186 -7.1819 2.7003
In 2.4939 -4.4445 12.8039
Pb 2.0922 -1.1293 7.7003
In 2.1032 -4.6148 7.2786
Pb 6.1736 -5.1523 3.2069
Pb 5.7767 -4.5037 6.4038
In 4.4399 -6.5597 8.5470
In 9.6547 -7.7967 7.8129
Pb 2.2154 -5.2191 1.8598
In 7.7088 -5.6814 12.0698
Ba 3.2245 -2.4524 4.2345
Pb 6.2969 -9.2421 -2.6337
Pb 11.2259 -8.9441 10.3861
```

E_tot (Ha/atom): -0.12100
Size of the total moment (μB per formula unit): 0.000
Energy relative to the elements (eV per atom): -0.31